A geometry-optimized TlIn6Hg structure, computed with PBE.

Energy: -18.87 eV for the cell shown
ρ: 8.254 g/cm³
DOS(E_F): 0.390 states/eV per atom
Magnetic moment: 0.000 μB per atom
E above lowest polymorph: 11.6 meV/atom

abc: 5.6758 6.6865 6.6865
angles: 119.86 90.00 90.00
Closest atoms and distances in Å follow each position.
Fractional positions:
Tl (0.5000, 0.4126, 0.5874)  12 In 3.33-3.46
In (0.0000, 0.0808, 0.4116)  8 In 3.30-3.46, 2 Hg 3.32-3.37, 2 Tl 3.43
In (0.0000, 0.5884, 0.9192)  8 In 3.30-3.46, 2 Hg 3.32-3.37, 2 Tl 3.43
In (0.0000, 0.5834, 0.4166)  8 In 3.34-3.42, 2 Hg 3.35, 2 Tl 3.46
In (0.5000, 0.4152, 0.0870)  8 In 3.31-3.46, 2 Tl 3.33-3.35, 2 Hg 3.41
In (0.5000, 0.9130, 0.5848)  8 In 3.31-3.46, 2 Tl 3.33-3.35, 2 Hg 3.41
In (0.5000, 0.9174, 0.0826)  8 In 3.31-3.42, 2 Tl 3.35, 2 Hg 3.46
Hg (0.0000, 0.0887, 0.9113)  12 In 3.32-3.46



A geometry-optimized TlInHg2 structure, computed with PBE.

Energy: -5.65 eV for the cell shown
ρ: 10.764 g/cm³
DOS(E_F): 0.529 states/eV per atom
Magnetic moment: 0.000 μB per atom

abc: 5.4120 5.4120 3.7942
angles: 90.00 90.00 90.00
Closest atoms and distances in Å follow each position.
Fractional positions:
Tl (0.0000, 0.5000, 0.5000)  8 Hg 3.30
Hg (0.0000, 0.0000, 0.0000)  4 Tl 3.30, 4 In 3.30
Hg (0.5000, 0.5000, 0.0000)  4 In 3.30, 4 Tl 3.30
In (0.5000, 0.0000, 0.5000)  8 Hg 3.30



A geometry-optimized Tl6InHg8 structure, computed with PBE.

Energy: -19.12 eV for the cell shown
ρ: 11.231 g/cm³
DOS(E_F): 0.560 states/eV per atom
Magnetic moment: 0.000 μB per atom
E above lowest polymorph: 8.7 meV/atom

abc: 7.9485 7.9485 7.9485
angles: 71.06 71.06 71.06
Closest atoms and distances in Å follow each position.
Fractional positions:
Tl (0.6264, 0.4157, 0.1784)  5 Hg 3.17-3.48
Tl (0.1784, 0.6264, 0.4157)  5 Hg 3.17-3.48
Tl (0.4157, 0.1784, 0.6264)  5 Hg 3.17-3.48
Tl (0.3736, 0.5843, 0.8216)  5 Hg 3.17-3.48
Tl (0.8216, 0.3736, 0.5843)  5 Hg 3.17-3.48
Tl (0.5843, 0.8216, 0.3736)  5 Hg 3.17-3.48
In (0.0000, 0.0000, 0.0000)  6 Hg 3.03
Hg (0.2289, 0.2289, 0.2289)  6 Hg 3.13-3.40
Hg (0.7711, 0.7711, 0.7711)  6 Hg 3.13-3.40
Hg (0.0478, 0.3891, 0.8575)  1 In 3.03, 3 Hg 3.07-3.40, 3 Tl 3.17-3.32
Hg (0.8575, 0.0478, 0.3891)  1 In 3.03, 3 Hg 3.07-3.40, 3 Tl 3.17-3.32
Hg (0.3891, 0.8575, 0.0478)  1 In 3.03, 3 Hg 3.07-3.40, 3 Tl 3.17-3.32
Hg (0.9522, 0.6109, 0.1425)  1 In 3.03, 3 Hg 3.07-3.40, 3 Tl 3.17-3.32
Hg (0.1425, 0.9522, 0.6109)  1 In 3.03, 3 Hg 3.07-3.40, 3 Tl 3.17-3.32
Hg (0.6109, 0.1425, 0.9522)  1 In 3.03, 3 Hg 3.07-3.40, 3 Tl 3.17-3.32



A geometry-optimized TlIn12Hg3 structure, computed with PBE.

Energy: -35.84 eV for the cell shown
ρ: 8.399 g/cm³
DOS(E_F): 0.555 states/eV per atom
Magnetic moment: 0.000 μB per atom

abc: 4.5846 4.5846 20.5423
angles: 90.00 90.00 90.00
Closest atoms and distances in Å follow each position.
Fractional positions:
Tl (0.0000, 0.0000, 0.0000)  12 In 3.24-3.53
In (0.5000, 0.5000, 0.0000)  4 Tl 3.24, 8 In 3.53
In (0.5000, 0.5000, 0.2529)  4 Hg 3.24, 8 In 3.40-3.42
In (0.5000, 0.5000, 0.5000)  4 Hg 3.24, 8 In 3.42
In (0.5000, 0.5000, 0.7471)  4 Hg 3.24, 8 In 3.40-3.42
In (0.5000, 0.0000, 0.1308)  8 In 3.24-3.53, 2 Hg 3.40, 2 Tl 3.53
In (0.5000, 0.0000, 0.3765)  8 In 3.24-3.42, 4 Hg 3.42
In (0.5000, 0.0000, 0.6235)  8 In 3.24-3.42, 4 Hg 3.42
In (0.5000, 0.0000, 0.8692)  8 In 3.24-3.53, 2 Hg 3.40, 2 Tl 3.53
In (0.0000, 0.5000, 0.1308)  8 In 3.24-3.53, 2 Hg 3.40, 2 Tl 3.53
In (0.0000, 0.5000, 0.3765)  8 In 3.24-3.42, 4 Hg 3.42
In (0.0000, 0.5000, 0.6235)  8 In 3.24-3.42, 4 Hg 3.42
In (0.0000, 0.5000, 0.8692)  8 In 3.24-3.53, 2 Hg 3.40, 2 Tl 3.53
Hg (0.0000, 0.0000, 0.2532)  12 In 3.24-3.42
Hg (0.0000, 0.0000, 0.5000)  12 In 3.24-3.42
Hg (0.0000, 0.0000, 0.7468)  12 In 3.24-3.42



A geometry-optimized TlIn6Hg4 structure, computed with PBE.

Energy: -19.60 eV for the cell shown
ρ: 8.721 g/cm³
DOS(E_F): 0.400 states/eV per atom
Magnetic moment: 0.000 μB per atom
E above lowest polymorph: 19.8 meV/atom

abc: 4.8389 4.8445 14.1223
angles: 98.93 99.02 90.12
Closest atoms and distances in Å follow each position.
Fractional positions:
Tl (0.0000, 0.0000, 0.0000)  8 Hg 3.65-3.75, 8 In 3.98-4.08
In (0.7488, 0.2518, 0.5001)  4 Hg 3.01-3.03
In (0.8832, 0.3779, 0.7663)  4 Hg 3.01-3.07
In (0.1168, 0.6221, 0.2337)  4 Hg 3.01-3.07
In (0.6214, 0.1168, 0.2334)  4 Hg 3.01-3.07
In (0.3786, 0.8832, 0.7666)  4 Hg 3.01-3.07
In (0.2512, 0.7482, 0.4999)  4 Hg 3.01-3.03
Hg (0.4451, 0.4445, 0.8974)  1 Hg 2.83, 4 In 3.01-3.03
Hg (0.1866, 0.1866, 0.3690)  8 In 3.01-3.07
Hg (0.8134, 0.8134, 0.6310)  8 In 3.01-3.07
Hg (0.5549, 0.5555, 0.1026)  1 Hg 2.83, 4 In 3.01-3.03



A geometry-optimized TlInHg structure, computed with PBE.

Energy: -10.75 eV for the cell shown
ρ: 10.187 g/cm³
DOS(E_F): 0.485 states/eV per atom
Magnetic moment: 0.000 μB per atom

abc: 3.9490 5.8312 8.1041
angles: 109.40 89.25 105.02
Closest atoms and distances in Å follow each position.
Fractional positions:
Tl (0.0703, 0.3051, 0.0527)  5 Hg 3.26-3.56, 2 In 3.34-3.52, 3 Tl 3.48-3.57
Tl (0.4106, 0.9582, 0.2507)  5 Hg 3.26-3.56, 2 In 3.34-3.53, 3 Tl 3.48-3.57
Hg (0.7442, 0.6589, 0.8977)  4 In 3.13-3.35, 4 Tl 3.26-3.44
Hg (0.7378, 0.6049, 0.4058)  4 In 3.13-3.35, 4 Tl 3.26-3.44
In (0.0793, 0.3159, 0.5906)  4 Hg 3.13-3.35, 3 In 3.17-3.37, 1 Tl 3.34
In (0.4037, 0.9484, 0.7127)  4 Hg 3.13-3.35, 3 In 3.17-3.37, 1 Tl 3.34



> What is the energy in the sixth record?

-10.75 eV for the cell shown



> Among the records above, which one has the highest DOS(E_F)?

Tl6InHg8